# YEr2Te (GGA-PBE, optimized geometry)
# Volume ... 376 Å³/cell
# E_form (uncorrected) ... -0.52 eV per atom
# Mass density ... 7.29 g cm⁻³
# Distance to the lowest polymorph of the same formula ... 122 meV per atom
data_YEr2Te
_chemical_formula_sum 'Y3 Er6 Te3'
_cell_length_a 3.8590
_cell_length_b 3.8590
_cell_length_c 29.1818
_cell_angle_alpha 90.00
_cell_angle_beta 90.00
_cell_angle_gamma 120.00
_space_group_name_H-M_alt 'R 3 m'
_space_group_IT_number 160
_space_group_name_Hall 'R 3 -2"'
loop_
_atom_site_label
_atom_site_type_symbol
_atom_site_fract_x
_atom_site_fract_y
_atom_site_fract_z
Y1 Y 0.0000 0.0000 0.0000
Er1 Er 0.0000 0.0000 0.5726
Er2 Er 0.0000 0.0000 0.7615
Te1 Te 0.0000 0.0000 0.1669